Record 1
The following is a PBE-GGA calculation of a relaxed structure of AlZnSnO4, from Alexandria via LeMat-Bulk.

a b c (Å): 6.2149 6.2149 6.2149
angles (deg): 121.91 118.61 89.57
Element x y z (fractional)
1 Al 0.5000 0.0000 0.0000
2 Al 0.5000 0.5000 0.5000
3 Zn 0.1250 0.3750 0.7500
4 Zn 0.8750 0.6250 0.2500
5 Sn 0.0000 0.0000 0.0000
6 Sn 0.5000 0.0000 0.5000
7 O 0.2790 0.2771 0.4981
8 O 0.2790 0.7809 0.0019
9 O 0.2901 0.2492 0.0409
10 O 0.2916 0.7508 0.5409
11 O 0.7084 0.2492 0.4591
12 O 0.7099 0.7508 0.9591
13 O 0.7210 0.2191 0.9981
14 O 0.7210 0.7229 0.5019

Its total energy is -0.4349 Ry per atom. The crystal system is orthorhombic. As for the symmetry: Imma, No. 74. The value obtained for the formation energy from raw total energies is -1.80 eV per atom.

Record 2
The following is a PBE-GGA calculation of a relaxed structure of SrAlO3, from Alexandria via LeMat-Bulk.

a b c (Å): 3.6576 5.7544 5.8914
angles (deg): 95.28 90.77 93.76
Element x y z (fractional)
1 Sr 0.0408 0.2531 0.2438
2 Sr 0.9592 0.7469 0.7562
3 Al 0.4918 0.7587 0.1997
4 Al 0.5082 0.2413 0.8003
5 O 0.0072 0.1807 0.7339
6 O 0.3916 0.6016 0.4731
7 O 0.5000 0.0000 0.0000
8 O 0.5000 0.5000 0.0000
9 O 0.6084 0.3984 0.5269
10 O 0.9928 0.8193 0.2661

Its total energy is -0.4871 Ry per atom. The crystal system is triclinic. As for the symmetry: P-1, No. 2. The value obtained for the formation energy from raw total energies is -2.57 eV per atom.

Record 3
The following is a PBE-GGA calculation of a relaxed structure of Sr4AlO5, from Alexandria via LeMat-Bulk.

a b c (Å): 6.1304 6.1304 6.1304
angles (deg): 100.56 100.56 129.32
Element x y z (fractional)
1 Sr 0.1052 0.2979 0.4031
2 Sr 0.2979 0.8948 0.1927
3 Sr 0.7021 0.1052 0.8073
4 Sr 0.8948 0.7021 0.5969
5 Al 0.5544 0.5544 0.0000
6 O 0.2525 0.5749 0.8432
7 O 0.4093 0.2525 0.6776
8 O 0.5749 0.7317 0.3224
9 O 0.7317 0.4093 0.1568
10 O 0.9045 0.9045 0.0000

Its total energy is -0.4401 Ry per atom. The crystal system is tetragonal. As for the symmetry: I4, No. 79. The value obtained for the formation energy from raw total energies is -2.46 eV per atom.

Record 4
The following is a PBE-GGA calculation of a relaxed structure of Sr2Al2O, from Alexandria via LeMat-Bulk.

a b c (Å): 3.6299 3.6299 17.5421
angles (deg): 90.00 90.00 90.00
Element x y z (fractional)
1 Sr 0.0000 0.0000 0.0873
2 Sr 0.0000 0.0000 0.9127
3 Sr 0.5000 0.5000 0.4127
4 Sr 0.5000 0.5000 0.5873
5 Al 0.0000 0.5000 0.2500
6 Al 0.0000 0.5000 0.7500
7 Al 0.5000 0.0000 0.2500
8 Al 0.5000 0.0000 0.7500
9 O 0.0000 0.0000 0.5000
10 O 0.5000 0.5000 0.0000

Its total energy is -0.2813 Ry per atom. The crystal system is tetragonal. As for the symmetry: I4/mmm, No. 139. The value obtained for the formation energy from raw total energies is -0.67 eV per atom.

Record 5
The following is a PBE-GGA calculation of a relaxed structure of SrAlO3, from Alexandria via LeMat-Bulk.

a b c (Å): 4.4986 4.4986 4.4986
angles (deg): 90.00 90.00 90.00
Element x y z (fractional)
1 Sr 0.0000 0.0000 0.0000
2 Al 0.5000 0.5000 0.5000
3 O 0.0000 0.0000 0.5000
4 O 0.0000 0.5000 0.0000
5 O 0.5000 0.0000 0.0000

Its total energy is -0.3148 Ry per atom. The crystal system is cubic. As for the symmetry: Pm-3m, No. 221. The value obtained for the formation energy from raw total energies is -0.22 eV per atom.

Record 6
The following is a PBE-GGA calculation of a relaxed structure of Sr2AlO3, from Alexandria via LeMat-Bulk.

a b c (Å): 9.7736 9.7736 5.9397
angles (deg): 90.00 90.00 160.93
Element x y z (fractional)
1 Sr 0.0188 0.9812 0.7500
2 Sr 0.1952 0.8048 0.7500
3 Sr 0.8048 0.1952 0.2500
4 Sr 0.9812 0.0188 0.2500
5 Al 0.3656 0.6344 0.7500
6 Al 0.6344 0.3656 0.2500
7 O 0.1850 0.8150 0.2500
8 O 0.4222 0.5778 0.5118
9 O 0.4222 0.5778 0.9882
10 O 0.5778 0.4222 0.0118
11 O 0.5778 0.4222 0.4882
12 O 0.8150 0.1850 0.7500

Its total energy is -0.4424 Ry per atom. The crystal system is orthorhombic. As for the symmetry: Cmcm, No. 63. The value obtained for the formation energy from raw total energies is -2.36 eV per atom.

Record 7
The following is a PBE-GGA calculation of a relaxed structure of Sr2Al2O, from Alexandria via LeMat-Bulk.

a b c (Å): 6.8531 6.8531 5.8393
angles (deg): 90.00 90.00 90.00
Element x y z (fractional)
1 Sr 0.2008 0.2992 0.0000
2 Sr 0.2992 0.7992 0.0000
3 Sr 0.7008 0.2008 0.0000
4 Sr 0.7992 0.7008 0.0000
5 Al 0.1308 0.6308 0.5000
6 Al 0.3692 0.1308 0.5000
7 Al 0.6308 0.8692 0.5000
8 Al 0.8692 0.3692 0.5000
9 O 0.0000 0.0000 0.0000
10 O 0.5000 0.5000 0.0000

Its total energy is -0.2775 Ry per atom. The crystal system is tetragonal. As for the symmetry: P4/mbm, No. 127. The value obtained for the formation energy from raw total energies is -0.61 eV per atom.

Record 8
The following is a PBE-GGA calculation of a relaxed structure of SrAlO3, from Alexandria via LeMat-Bulk.

a b c (Å): 7.1351 7.1351 5.6128
angles (deg): 95.46 95.46 82.66
Element x y z (fractional)
1 Sr 0.1067 0.8933 0.7500
2 Sr 0.3283 0.6717 0.2500
3 Sr 0.6717 0.3283 0.7500
4 Sr 0.8933 0.1067 0.2500
5 Al 0.1971 0.3447 0.7659
6 Al 0.3447 0.1971 0.2659
7 Al 0.6553 0.8029 0.7341
8 Al 0.8029 0.6553 0.2341
9 O 0.0215 0.2081 0.6481
10 O 0.0502 0.5514 0.9154
11 O 0.2081 0.0215 0.1481
12 O 0.3200 0.3851 0.5129
13 O 0.3851 0.3200 0.0129
14 O 0.4486 0.9498 0.5846
15 O 0.5514 0.0502 0.4154
16 O 0.6149 0.6800 0.9871
17 O 0.6800 0.6149 0.4871
18 O 0.7919 0.9785 0.8519
19 O 0.9498 0.4486 0.0846
20 O 0.9785 0.7919 0.3519

Its total energy is -0.4820 Ry per atom. The crystal system is monoclinic. As for the symmetry: C2/c, No. 15. The value obtained for the formation energy from raw total energies is -2.50 eV per atom.